# Ho2VO

Crystalline Ho2VO at its relaxed geometry (PBE+U, the Alexandria database).

a = 3.3338 Å, b = 3.3338 Å, c = 26.2085 Å
α = 90.00°, β = 90.00°, γ = 120.00°
Last column: nearest neighbours and their distance in Å.
Space group R-3m (No. 166, hexagonal axes)
Inequivalent atoms, fractional coordinates:
Ho  0.0000  0.0000  0.1137  3 O 2.37
V  0.0000  0.0000  0.0000  2 Ho 2.98, 6 V 3.33
O  0.0000  0.0000  0.5000  6 Ho 2.37

Summary:
- DFT total energy (eV per formula unit) = -24.4
- Fermi-level density of states (states/eV per cell) = 6.8
- volume (Å³/cell) = 252